# Ba2LaZnCo (PBE, optimized geometry)
data_Ba2LaZnCo
_chemical_formula_sum 'Ba2 La1 Zn1 Co1'
_symmetry_space_group_name_H-M 'P 1'
_symmetry_Int_Tables_number 1
_cell_length_a 6.568
_cell_length_b 6.568
_cell_length_c 4.489
_cell_angle_alpha 90.00
_cell_angle_beta 90.00
_cell_angle_gamma 90.00
loop_
_symmetry_equiv_pos_as_xyz
'x,y,z'
loop_
_atom_site_label
_atom_site_fract_x
_atom_site_fract_y
_atom_site_fract_z
_atom_site_occupancy
Ba1 0.000 0.500 0.000 1
Ba2 0.500 0.000 0.000 1
La1 0.000 0.000 0.000 1
Zn1 0.500 0.500 0.500 1
Co1 0.000 0.000 0.500 1
# DOS at the Fermi energy = 6.0 states/eV/cell
# formation enthalpy at 0 K = 59.2 kJ/mol of atoms

---

# Ba2LiCo (PBE, optimized geometry)
data_Ba2LiCo
_chemical_formula_sum 'Ba2 Li1 Co1'
_symmetry_space_group_name_H-M 'P 1'
_symmetry_Int_Tables_number 1
_cell_length_a 5.365
_cell_length_b 4.206
_cell_length_c 6.637
_cell_angle_alpha 90.00
_cell_angle_beta 90.44
_cell_angle_gamma 90.00
loop_
_symmetry_equiv_pos_as_xyz
'x,y,z'
loop_
_atom_site_label
_atom_site_fract_x
_atom_site_fract_y
_atom_site_fract_z
_atom_site_occupancy
Ba1 0.000 0.000 0.000 1
Ba2 0.500 0.500 0.500 1
Li1 0.000 0.000 0.500 1
Co1 0.500 0.500 0.000 1
# DOS at the Fermi energy = 5.8 states/eV/cell
# formation enthalpy at 0 K = 55.7 kJ/mol of atoms

---

# BaLiCo4 (PBE, optimized geometry)
data_BaLiCo4
_chemical_formula_sum 'Ba1 Li1 Co4'
_symmetry_space_group_name_H-M 'P 1'
_symmetry_Int_Tables_number 1
_cell_length_a 5.136
_cell_length_b 5.136
_cell_length_c 5.136
_cell_angle_alpha 60.00
_cell_angle_beta 60.00
_cell_angle_gamma 60.00
loop_
_symmetry_equiv_pos_as_xyz
'x,y,z'
loop_
_atom_site_label
_atom_site_fract_x
_atom_site_fract_y
_atom_site_fract_z
_atom_site_occupancy
Ba1 0.000 0.000 0.000 1
Li1 0.250 0.250 0.250 1
Co1 0.130 0.623 0.623 1
Co2 0.623 0.130 0.623 1
Co3 0.623 0.623 0.130 1
Co4 0.623 0.623 0.623 1
# DOS at the Fermi energy = 9.1 states/eV/cell
# formation enthalpy at 0 K = 43.0 kJ/mol of atoms

---

# Ba2LiCo (PBE, optimized geometry)
data_Ba2LiCo
_chemical_formula_sum 'Ba8 Li4 Co4'
_symmetry_space_group_name_H-M 'P 1'
_symmetry_Int_Tables_number 1
_cell_length_a 7.792
_cell_length_b 7.792
_cell_length_c 7.792
_cell_angle_alpha 90.00
_cell_angle_beta 90.00
_cell_angle_gamma 90.00
loop_
_symmetry_equiv_pos_as_xyz
'x,y,z'
loop_
_atom_site_label
_atom_site_fract_x
_atom_site_fract_y
_atom_site_fract_z
_atom_site_occupancy
Ba1 0.000 0.000 0.000 1
Ba2 0.000 0.500 0.500 1
Ba3 0.250 0.250 0.250 1
Ba4 0.250 0.750 0.750 1
Ba5 0.500 0.000 0.500 1
Ba6 0.500 0.500 0.000 1
Ba7 0.750 0.250 0.750 1
Ba8 0.750 0.750 0.250 1
Li1 0.000 0.000 0.500 1
Li2 0.000 0.500 0.000 1
Li3 0.500 0.000 0.000 1
Li4 0.500 0.500 0.500 1
Co1 0.250 0.250 0.750 1
Co2 0.250 0.750 0.250 1
Co3 0.750 0.250 0.250 1
Co4 0.750 0.750 0.750 1
# DOS at the Fermi energy = 32.1 states/eV/cell
# formation enthalpy at 0 K = 56.2 kJ/mol of atoms

---

# BaLi3Co (PBE, optimized geometry)
data_BaLi3Co
_chemical_formula_sum 'Ba1 Li3 Co1'
_symmetry_space_group_name_H-M 'P 1'
_symmetry_Int_Tables_number 1
_cell_length_a 4.993
_cell_length_b 4.993
_cell_length_c 4.993
_cell_angle_alpha 90.00
_cell_angle_beta 90.00
_cell_angle_gamma 90.00
loop_
_symmetry_equiv_pos_as_xyz
'x,y,z'
loop_
_atom_site_label
_atom_site_fract_x
_atom_site_fract_y
_atom_site_fract_z
_atom_site_occupancy
Ba1 0.000 0.000 0.000 1
Li1 0.000 0.500 0.500 1
Li2 0.500 0.000 0.500 1
Li3 0.500 0.500 0.000 1
Co1 0.500 0.500 0.500 1
# DOS at the Fermi energy = 9.5 states/eV/cell
# formation enthalpy at 0 K = 38.6 kJ/mol of atoms

---

# BaLi3Co (PBE, optimized geometry)
data_BaLi3Co
_chemical_formula_sum 'Ba1 Li3 Co1'
_symmetry_space_group_name_H-M 'P 1'
_symmetry_Int_Tables_number 1
_cell_length_a 5.049
_cell_length_b 5.049
_cell_length_c 5.049
_cell_angle_alpha 90.00
_cell_angle_beta 90.00
_cell_angle_gamma 90.00
loop_
_symmetry_equiv_pos_as_xyz
'x,y,z'
loop_
_atom_site_label
_atom_site_fract_x
_atom_site_fract_y
_atom_site_fract_z
_atom_site_occupancy
Ba1 0.000 0.000 0.000 1
Li1 0.000 0.000 0.500 1
Li2 0.000 0.500 0.000 1
Li3 0.500 0.000 0.000 1
Co1 0.500 0.500 0.500 1
# DOS at the Fermi energy = 11.3 states/eV/cell
# formation enthalpy at 0 K = 158.9 kJ/mol of atoms

---

Question: Which formula does entry 2 have?
Answer: Ba2LiCo